# 1
Material: PmPu2Ni9
Method: DFT, PBE
State: optimized geometry

Calculated values
ΔH_f (0 K)	-78	meV/atom

Unit cell a=8.607 b=8.607 c=8.607 alpha=32.67 beta=32.67 gamma=32.67
Fractional coordinates of all 12 atoms:
Pm 0.000 0.000 0.000
Pu 0.148 0.148 0.148
Pu 0.852 0.852 0.852
Ni 0.084 0.583 0.583
Ni 0.333 0.333 0.333
Ni 0.417 0.417 0.916
Ni 0.417 0.916 0.417
Ni 0.500 0.500 0.500
Ni 0.583 0.084 0.583
Ni 0.583 0.583 0.084
Ni 0.667 0.667 0.667
Ni 0.916 0.417 0.417


# 2
Material: RbPmNi
Method: DFT, PBE
State: optimized geometry

Calculated values
E_tot	-0.2069	Ry/atom

Unit cell a=4.981 b=4.981 c=4.981 alpha=60.00 beta=60.00 gamma=60.00
Fractional coordinates of all 3 atoms:
Rb 0.000 0.000 0.000
Pm 0.750 0.750 0.750
Ni 0.500 0.500 0.500


# 3
Material: PmSc3Ni4
Method: DFT, PBE
State: optimized geometry

Calculated values
ΔH_f (0 K)	-156	meV/atom

Unit cell a=6.471 b=6.471 c=6.471 alpha=131.61 beta=131.61 gamma=70.84
Fractional coordinates of all 8 atoms:
Pm 0.000 0.000 0.000
Sc 0.250 0.750 0.500
Sc 0.500 0.500 0.000
Sc 0.750 0.250 0.500
Ni 0.000 0.500 0.500
Ni 0.262 0.262 0.000
Ni 0.500 0.000 0.500
Ni 0.738 0.738 0.000


# 4
Material: PmScNi
Method: DFT, PBE
State: optimized geometry

Calculated values
ΔH_f (0 K)	-103	meV/atom
energy above the lowest structure with this stoichiometry	0.000	eV/f.u.

Unit cell a=4.647 b=4.647 c=4.647 alpha=60.00 beta=60.00 gamma=60.00
Fractional coordinates of all 3 atoms:
Pm 0.000 0.000 0.000
Sc 0.500 0.500 0.500
Ni 0.250 0.250 0.250


# 5
Material: Pm2Si5Ni3
Method: DFT, PBE
State: optimized geometry

Calculated values
E_tot	-0.4498	Ry/atom

Unit cell a=7.967 b=7.967 c=7.967 alpha=105.62 beta=89.39 gamma=137.86
Fractional coordinates of all 20 atoms:
Pm 0.131 0.238 0.369
Pm 0.369 0.738 0.107
Pm 0.631 0.262 0.893
Pm 0.869 0.762 0.631
Si 0.015 0.750 0.265
Si 0.108 0.649 0.757
Si 0.250 0.250 0.000
Si 0.392 0.149 0.541
Si 0.485 0.750 0.735
Si 0.515 0.250 0.265
Si 0.608 0.851 0.459
Si 0.750 0.750 0.000
Si 0.892 0.351 0.243
Si 0.985 0.250 0.735
Ni 0.133 0.889 0.022
Ni 0.250 0.750 0.500
Ni 0.367 0.389 0.756
Ni 0.633 0.611 0.244
Ni 0.750 0.250 0.500
Ni 0.867 0.111 0.978


# 6
Material: Pm3Si2Ni4
Method: DFT, PBE
State: optimized geometry

Calculated values
E_tot	-0.4323	Ry/atom

Unit cell a=5.506 b=5.506 c=8.014 alpha=99.44 beta=99.44 gamma=42.73
Fractional coordinates of all 9 atoms:
Pm 0.000 0.000 0.000
Pm 0.378 0.378 0.619
Pm 0.622 0.622 0.381
Si 0.328 0.328 0.209
Si 0.672 0.672 0.791
Ni 0.088 0.088 0.642
Ni 0.263 0.263 0.912
Ni 0.737 0.737 0.088
Ni 0.912 0.912 0.358


# 7
Material: Pm2Si3Ni
Method: DFT, PBE
State: optimized geometry

Calculated values
E_tot	-0.4457	Ry/atom

Unit cell a=8.140 b=8.041 c=5.821 alpha=69.83 beta=68.01 gamma=42.16
Fractional coordinates of all 12 atoms:
Pm 0.245 0.755 0.245
Pm 0.250 0.250 0.250
Pm 0.750 0.750 0.750
Pm 0.755 0.245 0.755
Si 0.171 0.171 0.829
Si 0.172 0.657 0.828
Si 0.343 0.828 0.657
Si 0.657 0.172 0.343
Si 0.828 0.343 0.172
Si 0.829 0.829 0.171
Ni 0.333 0.333 0.667
Ni 0.667 0.667 0.333


# 8
Material: PmSi2Ni5
Method: DFT, PBE
State: optimized geometry

Calculated values
E_tot	-0.4423	Ry/atom

Unit cell a=5.917 b=5.917 c=5.917 alpha=144.17 beta=112.57 gamma=78.78
Fractional coordinates of all 8 atoms:
Pm 0.000 0.000 0.000
Si 0.257 0.757 0.500
Si 0.743 0.243 0.500
Ni 0.163 0.350 0.813
Ni 0.463 0.650 0.813
Ni 0.500 0.000 0.500
Ni 0.537 0.350 0.187
Ni 0.837 0.650 0.187